ScPbW2 | Alexandria via LeMat-Bulk | PBE-GGA | optimized geometry; ΔH_f (0 K) = 3.21 eV/f.u.; total energy = -8.185 eV per atom; M_tot = 0.000 Bohr magnetons per cell; D(E_F) = 1.5 states/eV/f.u.
1.0
2.874 0.000 0.000
0.000 2.874 0.000
0.000 0.000 9.591
Sc Pb W
1 1 2
Cartesian
0.000 0.000 0.000 Sc
0.000 0.000 4.796 Pb
1.437 1.437 2.293 W
1.437 1.437 7.298 W